Entry from Alexandria via LeMat-Bulk: an optimized crystal structure of Th3Zr2PaP6 (GGA-PBE).

Properties
The energy is -8.206 eV per atom. The calculation puts the energy of formation from the pure elements at -1.43 eV/atom. The total magnetization is 0.0 μB/cell. The value obtained for the density of states at the Fermi level is 7.254 states/eV/cell. The space group is C2/m.

a b c (Å): 6.8794 6.8794 6.9252
angles (deg): 99.54 99.54 120.07
Element x y z (fractional)
Th 0.0000 0.0000 0.0000
Th 0.3344 0.6656 0.0000
Th 0.6656 0.3344 0.0000
Zr 0.1679 0.8321 0.5000
Zr 0.8321 0.1679 0.5000
Pa 0.5000 0.5000 0.5000
P 0.0843 0.4233 0.2706
P 0.2359 0.2359 0.7265
P 0.4233 0.0843 0.2706
P 0.5767 0.9157 0.7294
P 0.7641 0.7641 0.2735
P 0.9157 0.5767 0.7294